The following is a PBE with a Hubbard U calculation of a geometry-optimized CoN2F structure, from Alexandria via LeMat-Bulk.

Cell lengths 5.420, 5.420, 5.420 Å; angles 31.45, 31.45, 31.45 degrees
Last column: magnetic moment on the atom in μB.
Sites, in units of the cell vectors:
N: 0.887 0.887 0.887  0.15
N: 0.113 0.113 0.113  0.15
Co: 0.500 0.500 0.500  0.34
F: 0.000 0.000 0.000  -0.02

Output
E above lowest polymorph	0	meV per atom
total moment	0.69	μB per cell
Fermi-level density of states	2.026	states/eV per cell
SG	R-3m, No. 166